1.
GdZrAsO | PBE | relaxed

Computed properties:
As for the calculated volume: 155.0 Å³/cell. The value obtained for the density is 7.27 Mg/m³. The value obtained for the magnetic moment is 0.02 Bohr magnetons per cell. The value obtained for the relative energy among the computed polymorphs is 0 meV/atom.

Structure (CIF):
```
data_GdZrAsO
_chemical_formula_sum 'Gd2 Zr2 As2 O2'
_space_group_name_H-M_alt 'P 4/n m m'
_space_group_IT_number 129
_cell_length_a 4.1841
_cell_length_b 4.1841
_cell_length_c 8.8518
_cell_angle_alpha 90.00
_cell_angle_beta 90.00
_cell_angle_gamma 90.00
loop_
_space_group_symop_operation_xyz
'x,y,z'
'-x,-y,-z'
'-y+1/2,x,z'
'y+1/2,-x,-z'
'-x+1/2,-y+1/2,z'
'x+1/2,y+1/2,-z'
'y,-x+1/2,z'
'-y,x+1/2,-z'
'x+1/2,-y,-z'
'-x+1/2,y,z'
'-y,-x,-z'
'y,x,z'
'-x,y+1/2,-z'
'x,-y+1/2,z'
'y+1/2,x+1/2,-z'
'-y+1/2,-x+1/2,z'
loop_
_atom_site_label
_atom_site_type_symbol
_atom_site_fract_x
_atom_site_fract_y
_atom_site_fract_z
_atom_site_occupancy
Gd1 Gd 0.2500 0.2500 0.1148 1
Zr1 Zr 0.2500 0.7500 0.5000 1
As1 As 0.2500 0.2500 0.6971 1
O1 O 0.2500 0.7500 0.0000 1
```

2.
ZnNi15 | PBE | relaxed

Computed properties:
As for the calculated volume: 504.9 Å³/cell. The value obtained for the density is 6.22 Mg/m³. The value obtained for the magnetic moment is 9.85 Bohr magnetons per cell. The value obtained for the relative energy among the computed polymorphs is 0 meV/atom.

Structure (CIF):
```
data_ZnNi15
_chemical_formula_sum 'Zn2 Ni30'
_space_group_name_H-M_alt 'P 1 21/m 1'
_space_group_IT_number 11
_cell_length_a 4.9721
_cell_length_b 2.4953
_cell_length_c 40.6975
_cell_angle_alpha 90.00
_cell_angle_beta 90.00
_cell_angle_gamma 90.00
loop_
_space_group_symop_operation_xyz
'x,y,z'
'-x,-y,-z'
'-x,y+1/2,-z'
'x,-y+1/2,z'
loop_
_atom_site_label
_atom_site_type_symbol
_atom_site_fract_x
_atom_site_fract_y
_atom_site_fract_z
_atom_site_occupancy
Zn1 Zn 0.1250 0.2500 0.1780 1
Ni1 Ni 0.1250 0.2500 0.2660 1
Ni2 Ni 0.1250 0.2500 0.3513 1
Ni3 Ni 0.1250 0.2500 0.4362 1
Ni4 Ni 0.1250 0.2500 0.5212 1
Ni5 Ni 0.1250 0.2500 0.6063 1
Ni6 Ni 0.1246 0.2500 0.6912 1
Ni7 Ni 0.1256 0.2500 0.7766 1
Ni8 Ni 0.3746 0.7500 0.3088 1
Ni9 Ni 0.3750 0.7500 0.3937 1
Ni10 Ni 0.3750 0.7500 0.4788 1
Ni11 Ni 0.3750 0.7500 0.5638 1
Ni12 Ni 0.3750 0.7500 0.6487 1
Ni13 Ni 0.3750 0.7500 0.7336 1
Ni14 Ni 0.3750 0.7500 0.8187 1
Ni15 Ni 0.3756 0.7500 0.2234 1
```

3.
YZnPd2 | PBE | relaxed

Computed properties:
As for the calculated volume: 293.4 Å³/cell. The value obtained for the density is 8.31 Mg/m³. The value obtained for the magnetic moment is 0.01 Bohr magnetons per cell. The total energy is -5.0911 eV/atom.

Structure (CIF):
```
data_YZnPd2
_chemical_formula_sum 'Y4 Zn4 Pd8'
_space_group_name_H-M_alt 'F -4 3 m'
_space_group_IT_number 216
_space_group_name_Hall 'F -4 2 3'
_cell_length_a 6.6448
_cell_length_b 6.6448
_cell_length_c 6.6448
_cell_angle_alpha 90.00
_cell_angle_beta 90.00
_cell_angle_gamma 90.00
loop_
_atom_site_label
_atom_site_type_symbol
_atom_site_fract_x
_atom_site_fract_y
_atom_site_fract_z
_atom_site_occupancy
Y1 Y 0.0000 0.0000 0.0000 1
Zn1 Zn 0.2500 0.2500 0.7500 1
Pd1 Pd 0.0000 0.0000 0.5000 1
Pd2 Pd 0.2500 0.2500 0.2500 1
```

4.
HoHfZn | PBE | relaxed

Computed properties:
As for the calculated volume: 292.0 Å³/cell. The value obtained for the density is 9.30 Mg/m³. The value obtained for the magnetic moment is 2.92 Bohr magnetons per cell. The value obtained for the relative energy among the computed polymorphs is 0 meV/atom.

Structure (CIF):
```
data_HoHfZn
_chemical_formula_sum 'Ho4 Hf4 Zn4'
_space_group_name_H-M_alt 'F -4 3 m'
_space_group_IT_number 216
_space_group_name_Hall 'F -4 2 3'
_cell_length_a 6.6343
_cell_length_b 6.6343
_cell_length_c 6.6343
_cell_angle_alpha 90.00
_cell_angle_beta 90.00
_cell_angle_gamma 90.00
loop_
_atom_site_label
_atom_site_type_symbol
_atom_site_fract_x
_atom_site_fract_y
_atom_site_fract_z
_atom_site_occupancy
Ho1 Ho 0.0000 0.0000 0.0000 1
Hf1 Hf 0.0000 0.0000 0.5000 1
Zn1 Zn 0.2500 0.2500 0.7500 1
```